Here is a geometry-optimized CaErMgPd structure from the Alexandria database. Energies are from PBE.

## Properties
Spin magnetization   0.00 μB per formula unit
Formation enthalpy at 0 K   -0.336 eV/atom

Unit cell a=5.1426 b=5.1426 c=5.1426 alpha=60.00 beta=60.00 gamma=60.00
Positions (direct):
Ca  0.0000  0.0000  0.0000
Er  0.5000  0.5000  0.5000
Mg  0.7500  0.7500  0.7500
Pd  0.2500  0.2500  0.2500

Here is a geometry-optimized Er3C4 structure from the Alexandria database. Energies are from PBE.

## Properties
Spin magnetization   0.00 μB per formula unit
Formation enthalpy at 0 K   -0.349 eV/atom

Unit cell a=8.0112 b=8.0112 c=15.8755 alpha=90.00 beta=90.00 gamma=90.00
Positions (direct):
Er  0.0000  0.0000  0.0000
Er  0.0000  0.0000  0.3129
Er  0.0000  0.0000  0.6871
Er  0.0958  0.2969  0.5000
Er  0.0999  0.7116  0.1463
Er  0.0999  0.7116  0.8537
Er  0.2031  0.4042  0.0000
Er  0.2116  0.5999  0.3537
Er  0.2116  0.5999  0.6463
Er  0.2884  0.0999  0.1463
Er  0.2884  0.0999  0.8537
Er  0.2969  0.9042  0.5000
Er  0.4001  0.2116  0.3537
Er  0.4001  0.2116  0.6463
Er  0.4042  0.7969  0.0000
Er  0.5000  0.5000  0.1871
Er  0.5000  0.5000  0.5000
Er  0.5000  0.5000  0.8129
Er  0.5958  0.2031  0.0000
Er  0.5999  0.7884  0.3537
Er  0.5999  0.7884  0.6463
Er  0.7031  0.0958  0.5000
Er  0.7116  0.9001  0.1463
Er  0.7116  0.9001  0.8537
Er  0.7884  0.4001  0.3537
Er  0.7884  0.4001  0.6463
Er  0.7969  0.5958  0.0000
Er  0.9001  0.2884  0.1463
Er  0.9001  0.2884  0.8537
Er  0.9042  0.7031  0.5000
C  0.0000  0.0000  0.1568
C  0.0000  0.0000  0.4587
C  0.0000  0.0000  0.5413
C  0.0000  0.0000  0.8432
C  0.0983  0.3064  0.3279
C  0.0983  0.3064  0.6721
C  0.1061  0.6960  0.0000
C  0.1504  0.3496  0.2500
C  0.1504  0.3496  0.7500
C  0.1936  0.4017  0.1721
C  0.1936  0.4017  0.8279
C  0.1960  0.6061  0.5000
C  0.3040  0.1061  0.0000
C  0.3064  0.9017  0.3279
C  0.3064  0.9017  0.6721
C  0.3496  0.8496  0.2500
C  0.3496  0.8496  0.7500
C  0.3939  0.1960  0.5000
C  0.4017  0.8064  0.1721
C  0.4017  0.8064  0.8279
C  0.5000  0.5000  0.0413
C  0.5000  0.5000  0.3432
C  0.5000  0.5000  0.6568
C  0.5000  0.5000  0.9587
C  0.5983  0.1936  0.1721
C  0.5983  0.1936  0.8279
C  0.6061  0.8040  0.5000
C  0.6504  0.1504  0.2500
C  0.6504  0.1504  0.7500
C  0.6936  0.0983  0.3279
C  0.6936  0.0983  0.6721
C  0.6960  0.8939  0.0000
C  0.8040  0.3939  0.5000
C  0.8064  0.5983  0.1721
C  0.8064  0.5983  0.8279
C  0.8496  0.6504  0.2500
C  0.8496  0.6504  0.7500
C  0.8939  0.3040  0.0000
C  0.9017  0.6936  0.3279
C  0.9017  0.6936  0.6721

Here is a geometry-optimized Al2IrOsPb structure from the Alexandria database. Energies are from PBE.

## Properties
Spin magnetization   0.00 μB per formula unit
Formation enthalpy at 0 K   0.882 eV/atom

Unit cell a=4.6466 b=4.6466 c=5.1286 alpha=90.00 beta=90.00 gamma=90.00
Positions (direct):
Al  0.0000  0.5000  0.0000
Al  0.5000  0.0000  0.0000
Ir  0.0000  0.0000  0.5000
Os  0.5000  0.5000  0.0000
Pb  0.5000  0.5000  0.5000